Record 1
InSnSb2Os | GGA-PBEsol | relaxed

Properties
Final energy, eV/atom: -3.7747

Cell: 5.360 5.360 5.267 Å, 90.00 90.00 90.00°
Space group P4/mmm (No. 123)
Inequivalent atoms, fractional coordinates:
In: 0.000 0.000 0.000 [1 per cell]
Sn: 0.000 0.000 0.500 [1 per cell]
Sb: 0.000 0.500 0.000 [2 per cell]
Os: 0.500 0.500 0.500 [1 per cell]

***

Record 2
TiInSbOs2 | GGA-PBEsol | relaxed

Properties
Final energy, eV/atom: -5.7488

Cell: 4.800 4.800 5.096 Å, 90.00 90.00 90.00°
Space group P4/mmm (No. 123)
Inequivalent atoms, fractional coordinates:
Ti: 0.000 0.000 0.000 [1 per cell]
In: 0.500 0.500 0.500 [1 per cell]
Sb: 0.500 0.500 0.000 [1 per cell]
Os: 0.000 0.500 0.500 [2 per cell]

***

Record 3
ScInOs | GGA-PBEsol | relaxed

Properties
Formation energy from the elements, eV/atom: 0.04

Cell: 6.309 6.309 6.309 Å, 90.00 90.00 90.00°
Space group F-43m (No. 216)
Inequivalent atoms, fractional coordinates:
Sc: 0.000 0.000 0.000 [4 per cell]
In: 0.000 0.000 0.500 [4 per cell]
Os: 0.250 0.250 0.250 [4 per cell]

***

Record 4
ScIn2Os | GGA-PBEsol | relaxed

Properties
Formation energy from the elements, eV/atom: 0.01

Cell: 3.254 4.892 9.574 Å, 90.00 90.00 90.00°
Space group Immm (No. 71)
Inequivalent atoms, fractional coordinates:
Sc: 0.000 0.000 0.000 [2 per cell]
In: 0.000 0.500 0.231 [4 per cell]
Os: 0.000 0.000 0.500 [2 per cell]